Computed, not measured: a relaxed Ba2CaGaPt crystal at the PBE level of DFT.

DOS at the Fermi energy   3.1 states/eV/cell
Calculated formation energy   -0.35 eV/atom

abc: 6.2961 6.2961 4.9339
angles: 90.00 90.00 90.00
Closest atoms and distances in Å follow each position.
Fractional positions:
Ba (0.0000, 0.5000, 0.0000)  2 Pt 3.15
Ba (0.5000, 0.0000, 0.0000)  2 Pt 3.15
Ca (0.0000, 0.0000, 0.5000)  8 Ba 4.00, 4 Ga 4.45
Ga (0.5000, 0.5000, 0.5000)  2 Pt 2.47
Pt (0.5000, 0.5000, 0.0000)  2 Ga 2.47


Computed, not measured: a relaxed BaCaGa2Pt2 crystal at the PBE level of DFT.

DOS at the Fermi energy   3.4 states/eV/cell
Calculated formation energy   -0.82 eV/atom

abc: 4.4524 4.4524 8.3834
angles: 90.00 90.00 120.00
Closest atoms and distances in Å follow each position.
Fractional positions:
Ba (0.0000, 0.0000, 0.0000)  6 Pt 3.54, 6 Ga 3.54
Ca (0.0000, 0.0000, 0.5000)  6 Ga 3.11, 6 Pt 3.12
Ga (0.3333, 0.6667, 0.2906)  3 Pt 2.57
Ga (0.6667, 0.3333, 0.7094)  3 Pt 2.57
Pt (0.3333, 0.6667, 0.7100)  3 Ga 2.57
Pt (0.6667, 0.3333, 0.2900)  3 Ga 2.57


Computed, not measured: a relaxed Rb2BaCaGa crystal at the PBE level of DFT.

DOS at the Fermi energy   4.7 states/eV/cell
Calculated formation energy   0.25 eV/atom

abc: 6.8920 6.8920 6.5435
angles: 90.00 90.00 90.00
Closest atoms and distances in Å follow each position.
Fractional positions:
Rb (0.0000, 0.5000, 0.0000)  2 Ga 3.45
Rb (0.5000, 0.0000, 0.0000)  2 Ga 3.45
Ba (0.0000, 0.0000, 0.5000)  2 Ga 3.27
Ca (0.5000, 0.5000, 0.5000)  8 Rb 4.75, 4 Ba 4.87
Ga (0.0000, 0.0000, 0.0000)  2 Ba 3.27, 4 Rb 3.45


Computed, not measured: a relaxed BaCaGaRh crystal at the PBE level of DFT.

DOS at the Fermi energy   8.0 states/eV/cell
Calculated formation energy   -0.47 eV/atom

abc: 4.3668 4.3668 23.6996
angles: 90.00 90.00 120.00
Closest atoms and distances in Å follow each position.
Fractional positions:
Ba (0.0000, 0.0000, 0.0000)  3 Rh 3.39, 3 Ga 3.40
Ba (0.3333, 0.6667, 0.6667)  3 Rh 3.39, 3 Ga 3.40
Ba (0.6667, 0.3333, 0.3333)  3 Rh 3.39, 3 Ga 3.40
Ca (0.0000, 0.0000, 0.1723)  3 Ga 3.10, 3 Rh 3.11
Ca (0.3333, 0.6667, 0.8389)  3 Ga 3.10, 3 Rh 3.11
Ca (0.6667, 0.3333, 0.5056)  3 Ga 3.10, 3 Rh 3.11
Ga (0.0000, 0.0000, 0.7632)  3 Rh 2.52
Ga (0.3333, 0.6667, 0.4298)  3 Rh 2.52
Ga (0.6667, 0.3333, 0.0965)  3 Rh 2.52
Rh (0.0000, 0.0000, 0.4288)  3 Ga 2.52
Rh (0.3333, 0.6667, 0.0955)  3 Ga 2.52
Rh (0.6667, 0.3333, 0.7622)  3 Ga 2.52


Computed, not measured: a relaxed Ba2CaGaRh crystal at the PBE level of DFT.

DOS at the Fermi energy   5.7 states/eV/cell
Calculated formation energy   -0.15 eV/atom

abc: 6.1323 6.1323 4.9647
angles: 90.00 90.00 90.00
Closest atoms and distances in Å follow each position.
Fractional positions:
Ba (0.0000, 0.5000, 0.0000)  2 Rh 3.07
Ba (0.5000, 0.0000, 0.0000)  2 Rh 3.07
Ca (0.0000, 0.0000, 0.5000)  8 Ba 3.95, 4 Ga 4.34
Ga (0.5000, 0.5000, 0.5000)  2 Rh 2.48
Rh (0.5000, 0.5000, 0.0000)  2 Ga 2.48


Computed, not measured: a relaxed BaCaGa2Rh crystal at the PBE level of DFT.

DOS at the Fermi energy   3.8 states/eV/cell
Calculated formation energy   -0.44 eV/atom

abc: 4.9813 4.9813 5.2789
angles: 90.00 90.00 90.00
Closest atoms and distances in Å follow each position.
Fractional positions:
Ba (0.0000, 0.0000, 0.0000)  4 Ca 3.52, 8 Ga 3.63
Ca (0.5000, 0.5000, 0.0000)  2 Rh 2.64
Ga (0.0000, 0.5000, 0.5000)  2 Rh 2.49
Ga (0.5000, 0.0000, 0.5000)  2 Rh 2.49
Rh (0.5000, 0.5000, 0.5000)  4 Ga 2.49, 2 Ca 2.64


Computed, not measured: a relaxed Ba2CaGa2S6 crystal at the PBE level of DFT.

DOS at the Fermi energy   0.0 states/eV/cell
Formation energy from raw total energies   -1.34 eV/atom

abc: 8.4861 8.4861 8.4861
angles: 49.78 49.78 49.78
Closest atoms and distances in Å follow each position.
Fractional positions:
Ba (0.2100, 0.2100, 0.2100)  9 S 3.28-3.64
Ba (0.7900, 0.7900, 0.7900)  9 S 3.28-3.64
Ca (0.0000, 0.0000, 0.0000)  6 S 2.82
Ga (0.4227, 0.4227, 0.4227)  3 S 2.18
Ga (0.5773, 0.5773, 0.5773)  3 S 2.18
S (0.2233, 0.7512, 0.7512)  1 Ga 2.18
S (0.2488, 0.2488, 0.7767)  1 Ga 2.18
S (0.2488, 0.7767, 0.2488)  1 Ga 2.18
S (0.7512, 0.2233, 0.7512)  1 Ga 2.18
S (0.7512, 0.7512, 0.2233)  1 Ga 2.18
S (0.7767, 0.2488, 0.2488)  1 Ga 2.18


Computed, not measured: a relaxed BaCaGaSb2 crystal at the PBE level of DFT.

DOS at the Fermi energy   3.8 states/eV/cell
Relative energy among the computed polymorphs   8.69 kcal/mol of atoms
Formation energy from raw total energies   -0.22 eV/atom

abc: 5.8122 5.8122 5.4864
angles: 90.00 90.00 90.00
Closest atoms and distances in Å follow each position.
Fractional positions:
Ba (0.0000, 0.0000, 0.0000)  8 Sb 4.00, 4 Ga 4.11
Ca (0.5000, 0.5000, 0.5000)  2 Ga 2.74, 4 Sb 2.91
Ga (0.5000, 0.5000, 0.0000)  2 Ca 2.74
Sb (0.0000, 0.5000, 0.5000)  2 Ca 2.91
Sb (0.5000, 0.0000, 0.5000)  2 Ca 2.91


Computed, not measured: a relaxed BaCaGaSb2 crystal at the PBE level of DFT.

DOS at the Fermi energy   5.6 states/eV/cell
Relative energy among the computed polymorphs   0.00 kcal/mol of atoms
Formation energy from raw total energies   -0.60 eV/atom

abc: 8.3021 8.3021 6.4458
angles: 90.00 90.00 129.99
Closest atoms and distances in Å follow each position.
Fractional positions:
Ba (0.2500, 0.7500, 0.7670)  8 Sb 3.55-3.87
Ba (0.7500, 0.2500, 0.2330)  8 Sb 3.55-3.87
Ca (0.2500, 0.2500, 0.5000)  4 Sb 3.18, 2 Ca 3.51
Ca (0.7500, 0.7500, 0.5000)  4 Sb 3.18, 2 Ca 3.51
Ga (0.0000, 0.0000, 0.0000)  2 Sb 2.69
Ga (0.5000, 0.5000, 0.0000)  2 Sb 2.69
Sb (0.1415, 0.8585, 0.2558)  1 Ga 2.69
Sb (0.3585, 0.6415, 0.2558)  1 Ga 2.69
Sb (0.6415, 0.3585, 0.7442)  1 Ga 2.69
Sb (0.8585, 0.1415, 0.7442)  1 Ga 2.69


Computed, not measured: a relaxed BaCaScGa2 crystal at the PBE level of DFT.

DOS at the Fermi energy   3.0 states/eV/cell
Calculated formation energy   0.25 eV/atom

abc: 5.3923 5.3923 5.6033
angles: 90.00 90.00 90.00
Closest atoms and distances in Å follow each position.
Fractional positions:
Ba (0.0000, 0.0000, 0.0000)  2 Sc 2.80
Ca (0.5000, 0.5000, 0.0000)  4 Ba 3.81, 8 Ga 3.89
Sc (0.0000, 0.0000, 0.5000)  4 Ga 2.70, 2 Ba 2.80
Ga (0.0000, 0.5000, 0.5000)  2 Sc 2.70
Ga (0.5000, 0.0000, 0.5000)  2 Sc 2.70


Computed, not measured: a relaxed BaSr2CaGa crystal at the PBE level of DFT.

DOS at the Fermi energy   5.4 states/eV/cell
Relative energy among the computed polymorphs   0.00 kcal/mol of atoms
Calculated formation energy   -0.10 eV/atom

abc: 6.3207 6.3207 6.0228
angles: 90.00 90.00 90.00
Closest atoms and distances in Å follow each position.
Fractional positions:
Ba (0.0000, 0.0000, 0.0000)  8 Sr 4.37, 4 Ca 4.47
Sr (0.0000, 0.5000, 0.5000)  2 Ga 3.16
Sr (0.5000, 0.0000, 0.5000)  2 Ga 3.16
Ca (0.5000, 0.5000, 0.0000)  2 Ga 3.01
Ga (0.5000, 0.5000, 0.5000)  2 Ca 3.01, 4 Sr 3.16


Computed, not measured: a relaxed BaSr2CaGa crystal at the PBE level of DFT.

DOS at the Fermi energy   7.2 states/eV/cell
Relative energy among the computed polymorphs   16.46 kcal/mol of atoms
Calculated formation energy   0.61 eV/atom

abc: 6.6116 6.6116 5.7783
angles: 90.00 90.00 90.00
Closest atoms and distances in Å follow each position.
Fractional positions:
Ba (0.0000, 0.0000, 0.0000)  2 Ga 2.89
Sr (0.0000, 0.5000, 0.0000)  2 Ba 3.31
Sr (0.5000, 0.0000, 0.0000)  2 Ba 3.31
Ca (0.5000, 0.5000, 0.5000)  8 Sr 4.39, 4 Ga 4.68
Ga (0.0000, 0.0000, 0.5000)  2 Ba 2.89